The following is a GGA-PBE calculation of an optimized crystal structure of Tb2Ho2Se5, from Alexandria.

a = 8.254 Å, b = 8.254 Å, c = 7.649 Å
α = 90.00°, β = 90.00°, γ = 55.16°
Element x y z (fractional)
Tb: 0.197 0.197 0.000
Tb: 0.303 0.303 0.500
Tb: 0.697 0.697 0.500
Tb: 0.803 0.803 0.000
Ho: 0.151 0.849 0.656
Ho: 0.349 0.651 0.156
Ho: 0.651 0.349 0.844
Ho: 0.849 0.151 0.344
Se: 0.000 0.000 0.000
Se: 0.020 0.701 0.345
Se: 0.201 0.520 0.845
Se: 0.299 0.980 0.345
Se: 0.480 0.799 0.845
Se: 0.500 0.500 0.500
Se: 0.520 0.201 0.155
Se: 0.701 0.020 0.655
Se: 0.799 0.480 0.155
Se: 0.980 0.299 0.655

Values from the calculation:
formation energy from raw total energies	-1720	meV/atom
magnetization	0.000	μB per atom
polymorph energy (0 for the lowest one)	0.000	eV/atom
E	-102.6	eV/cell

=====

The following is a GGA-PBE calculation of an optimized crystal structure of Ca2SbIrN, from Alexandria.

a = 5.302 Å, b = 5.302 Å, c = 3.776 Å
α = 90.00°, β = 90.00°, γ = 90.00°
Element x y z (fractional)
Ca: 0.000 0.500 0.000
Ca: 0.500 0.000 0.000
Sb: 0.000 0.000 0.500
Ir: 0.500 0.500 0.500
N: 0.500 0.500 0.000

Values from the calculation:
formation energy from raw total energies	-676	meV/atom
magnetization	0.000	μB per atom
E	-28.7	eV/cell